Record 1
Material: Rb2MgIrO6
Method: DFT, PBE
State: relaxed

Computed properties:
E_form (uncorrected)	-1246	meV per atom
Fermi-level density of states	0.48	states/eV/atom
space-group type	Fm-3m, No. 225

Cell: 5.765 5.765 5.765 Å, 60.00 60.00 60.00°
Fractional coordinates of all 10 atoms:
Rb 0.250 0.250 0.250
Rb 0.750 0.750 0.750
Mg 0.000 0.000 0.000
Ir 0.500 0.500 0.500
O 0.266 0.266 0.734
O 0.266 0.734 0.266
O 0.266 0.734 0.734
O 0.734 0.266 0.266
O 0.734 0.266 0.734
O 0.734 0.734 0.266



Record 2
Material: MgIrRh2O6
Method: DFT, PBE
State: relaxed

Computed properties:
E_form (uncorrected)	-1054	meV per atom
Fermi-level density of states	0.46	states/eV/atom
space-group type	R3, No. 146

Cell: 5.526 5.526 5.526 Å, 56.47 56.47 56.47°
Fractional coordinates of all 10 atoms:
Mg 0.000 0.000 0.000
Ir 0.488 0.488 0.488
Rh 0.294 0.294 0.294
Rh 0.800 0.800 0.800
O 0.091 0.701 0.397
O 0.208 0.587 0.885
O 0.397 0.091 0.701
O 0.587 0.885 0.208
O 0.701 0.397 0.091
O 0.885 0.208 0.587



Record 3
Material: MgIrRhO6
Method: DFT, PBE
State: relaxed

Computed properties:
E_form (uncorrected)	-1054	meV per atom
Fermi-level density of states	0.88	states/eV/atom
space-group type	P-31c, No. 163

Cell: 5.079 5.079 8.490 Å, 90.00 90.00 120.00°
Fractional coordinates of all 18 atoms:
Mg 0.333 0.667 0.250
Mg 0.667 0.333 0.750
Ir 0.333 0.667 0.750
Ir 0.667 0.333 0.250
Rh 0.000 0.000 0.000
Rh 0.000 0.000 0.500
O 0.011 0.345 0.624
O 0.011 0.666 0.876
O 0.334 0.345 0.876
O 0.334 0.989 0.624
O 0.345 0.011 0.124
O 0.345 0.334 0.376
O 0.655 0.666 0.624
O 0.655 0.989 0.876
O 0.666 0.011 0.376
O 0.666 0.655 0.124
O 0.989 0.334 0.124
O 0.989 0.655 0.376



Record 4
Material: Mg2IrRuO6
Method: DFT, PBE
State: relaxed

Computed properties:
E_form (uncorrected)	-1165	meV per atom
Fermi-level density of states	0.40	states/eV/atom
space-group type	P4mm, No. 99

Cell: 5.779 5.779 3.812 Å, 90.00 90.00 90.00°
Fractional coordinates of all 10 atoms:
Mg 0.000 0.500 0.000
Mg 0.500 0.000 0.000
Ir 0.000 0.000 0.820
Ru 0.500 0.500 0.803
O 0.000 0.000 0.327
O 0.249 0.249 0.900
O 0.249 0.751 0.900
O 0.500 0.500 0.319
O 0.751 0.249 0.900
O 0.751 0.751 0.900



Record 5
Material: MgSc2IrO8
Method: DFT, PBE
State: relaxed

Computed properties:
E_form (uncorrected)	-2010	meV per atom
Fermi-level density of states	0.31	states/eV/atom
space-group type	Cmmm, No. 65

Cell: 4.774 4.774 6.354 Å, 90.00 90.00 91.97°
Fractional coordinates of all 12 atoms:
Mg 0.000 0.000 0.000
Sc 0.500 0.500 0.237
Sc 0.500 0.500 0.763
Ir 0.000 0.000 0.500
O 0.189 0.811 0.283
O 0.189 0.811 0.717
O 0.287 0.287 0.500
O 0.300 0.300 0.000
O 0.700 0.700 0.000
O 0.713 0.713 0.500
O 0.811 0.189 0.283
O 0.811 0.189 0.717



Record 6
Material: MgSc2IrO
Method: DFT, PBE
State: relaxed

Computed properties:
E_form (uncorrected)	-1478	meV per atom
Fermi-level density of states	0.29	states/eV/atom
space-group type	P4/mmm, No. 123

Cell: 4.393 4.393 3.988 Å, 90.00 90.00 90.00°
Fractional coordinates of all 5 atoms:
Mg 0.000 0.000 0.000
Sc 0.000 0.500 0.500
Sc 0.500 0.000 0.500
Ir 0.500 0.500 0.000
O 0.000 0.000 0.500



Record 7
Material: Mg2IrSeO
Method: DFT, PBE
State: relaxed

Computed properties:
E_form (uncorrected)	-567	meV per atom
Fermi-level density of states	0.58	states/eV/atom
space-group type	P4/mmm, No. 123

Cell: 3.912 3.912 4.987 Å, 90.00 90.00 90.00°
Fractional coordinates of all 5 atoms:
Mg 0.000 0.500 0.000
Mg 0.500 0.000 0.000
Ir 0.000 0.000 0.500
Se 0.500 0.500 0.500
O 0.500 0.500 0.000



Record 8
Material: SmMg2IrO8
Method: DFT, PBE
State: relaxed

Computed properties:
E_form (uncorrected)	-1640	meV per atom
Fermi-level density of states	0.43	states/eV/atom
space-group type	P2/m, No. 10

Cell: 4.474 6.723 4.736 Å, 90.00 90.19 90.00°
Fractional coordinates of all 12 atoms:
Sm 0.000 0.000 0.000
Mg 0.500 0.264 0.500
Mg 0.500 0.736 0.500
Ir 0.000 0.500 0.000
O 0.239 0.500 0.329
O 0.246 0.292 0.856
O 0.246 0.708 0.856
O 0.253 0.000 0.451
O 0.747 0.000 0.549
O 0.754 0.292 0.144
O 0.754 0.708 0.144
O 0.761 0.500 0.671



Record 9
Material: Sm2MgIrO6
Method: DFT, PBE
State: relaxed

Computed properties:
E_form (uncorrected)	-2491	meV per atom
Fermi-level density of states	0.67	states/eV/atom
space-group type	P2_1/c, No. 14

Cell: 5.426 5.770 9.463 Å, 90.00 124.55 90.00°
Fractional coordinates of all 20 atoms:
Sm 0.230 0.069 0.251
Sm 0.230 0.431 0.751
Sm 0.770 0.569 0.249
Sm 0.770 0.931 0.749
Mg 0.500 0.000 0.000
Mg 0.500 0.500 0.500
Ir 0.000 0.000 0.500
Ir 0.000 0.500 0.000
O 0.134 0.201 0.945
O 0.134 0.299 0.445
O 0.251 0.698 0.946
O 0.251 0.802 0.446
O 0.355 0.036 0.747
O 0.355 0.464 0.247
O 0.645 0.536 0.753
O 0.645 0.964 0.253
O 0.749 0.198 0.554
O 0.749 0.302 0.054
O 0.866 0.701 0.555
O 0.866 0.799 0.055



Record 10
Material: Mg2SnIrO8
Method: DFT, PBE
State: relaxed

Computed properties:
E_form (uncorrected)	-1404	meV per atom
Fermi-level density of states	0.59	states/eV/atom
space-group type	Cmmm, No. 65

Cell: 4.707 4.707 6.359 Å, 90.00 90.00 92.34°
Fractional coordinates of all 12 atoms:
Mg 0.000 0.000 0.248
Mg 0.000 0.000 0.752
Sn 0.500 0.500 0.000
Ir 0.500 0.500 0.500
O 0.196 0.196 0.000
O 0.215 0.215 0.500
O 0.310 0.690 0.275
O 0.310 0.690 0.725
O 0.690 0.310 0.275
O 0.690 0.310 0.725
O 0.785 0.785 0.500
O 0.804 0.804 0.000



Record 11
Material: SrMgIr2O8
Method: DFT, PBE
State: relaxed

Computed properties:
E_form (uncorrected)	-1109	meV per atom
Fermi-level density of states	0.33	states/eV/atom
space-group type	P-3, No. 147

Cell: 5.424 5.424 6.176 Å, 90.00 90.00 120.00°
Fractional coordinates of all 12 atoms:
Sr 0.000 0.000 0.000
Mg 0.000 0.000 0.500
Ir 0.333 0.667 0.449
Ir 0.667 0.333 0.551
O 0.060 0.367 0.645
O 0.307 0.940 0.645
O 0.333 0.667 0.147
O 0.367 0.307 0.355
O 0.633 0.693 0.645
O 0.667 0.333 0.853
O 0.693 0.060 0.355
O 0.940 0.633 0.355



Record 12
Material: Sr3MgIrO6
Method: DFT, PBE
State: relaxed

Computed properties:
E_form (uncorrected)	-2259	meV per atom
Fermi-level density of states	0.52	states/eV/atom
space-group type	R-3c, No. 167

Cell: 6.749 6.749 6.749 Å, 92.28 92.28 92.28°
Fractional coordinates of all 22 atoms:
Sr 0.114 0.750 0.386
Sr 0.250 0.614 0.886
Sr 0.386 0.114 0.750
Sr 0.614 0.886 0.250
Sr 0.750 0.386 0.114
Sr 0.886 0.250 0.614
Mg 0.250 0.250 0.250
Mg 0.750 0.750 0.750
Ir 0.000 0.000 0.000
Ir 0.500 0.500 0.500
O 0.037 0.904 0.713
O 0.096 0.287 0.963
O 0.213 0.404 0.537
O 0.287 0.963 0.096
O 0.404 0.537 0.213
O 0.463 0.787 0.596
O 0.537 0.213 0.404
O 0.596 0.463 0.787
O 0.713 0.037 0.904
O 0.787 0.596 0.463
O 0.904 0.713 0.037
O 0.963 0.096 0.287



Record 13
Material: MgTaIrO6
Method: DFT, PBE
State: relaxed

Computed properties:
E_form (uncorrected)	-1942	meV per atom
Fermi-level density of states	0.55	states/eV/atom
space-group type	P4_2nm, No. 102

Cell: 4.718 4.718 9.262 Å, 90.00 90.00 90.00°
Fractional coordinates of all 18 atoms:
Mg 0.000 0.000 0.000
Mg 0.500 0.500 0.500
Ta 0.000 0.000 0.335
Ta 0.500 0.500 0.835
Ir 0.000 0.000 0.669
Ir 0.500 0.500 0.169
O 0.191 0.191 0.502
O 0.201 0.201 0.825
O 0.207 0.207 0.177
O 0.293 0.707 0.677
O 0.299 0.701 0.325
O 0.309 0.691 0.002
O 0.691 0.309 0.002
O 0.701 0.299 0.325
O 0.707 0.293 0.677
O 0.793 0.793 0.177
O 0.799 0.799 0.825
O 0.809 0.809 0.502



Record 14
Material: MgTcIrO6
Method: DFT, PBE
State: relaxed

Computed properties:
E_form (uncorrected)	-1359	meV per atom
Fermi-level density of states	0.26	states/eV/atom
space-group type	P-31c, No. 163

Cell: 4.862 4.862 9.779 Å, 90.00 90.00 120.00°
Fractional coordinates of all 18 atoms:
Mg 0.000 0.000 0.000
Mg 0.000 0.000 0.500
Tc 0.333 0.667 0.250
Tc 0.667 0.333 0.750
Ir 0.333 0.667 0.750
Ir 0.667 0.333 0.250
O 0.011 0.337 0.133
O 0.011 0.674 0.367
O 0.326 0.337 0.367
O 0.326 0.989 0.133
O 0.337 0.011 0.633
O 0.337 0.326 0.867
O 0.663 0.674 0.133
O 0.663 0.989 0.367
O 0.674 0.011 0.867
O 0.674 0.663 0.633
O 0.989 0.326 0.633
O 0.989 0.663 0.867



Record 15
Material: MgTeIrO6
Method: DFT, PBE
State: relaxed

Computed properties:
E_form (uncorrected)	-1176	meV per atom
Fermi-level density of states	0.63	states/eV/atom
space-group type	P-31c, No. 163

Cell: 5.151 5.151 8.629 Å, 90.00 90.00 120.00°
Fractional coordinates of all 18 atoms:
Mg 0.333 0.667 0.250
Mg 0.667 0.333 0.750
Te 0.333 0.667 0.750
Te 0.667 0.333 0.250
Ir 0.000 0.000 0.000
Ir 0.000 0.000 0.500
O 0.010 0.338 0.626
O 0.010 0.672 0.874
O 0.328 0.338 0.874
O 0.328 0.990 0.626
O 0.338 0.010 0.126
O 0.338 0.328 0.374
O 0.662 0.672 0.626
O 0.662 0.990 0.874
O 0.672 0.010 0.374
O 0.672 0.662 0.126
O 0.990 0.328 0.126
O 0.990 0.662 0.374



Record 16
Material: ThMgIrO6
Method: DFT, PBE
State: relaxed

Computed properties:
E_form (uncorrected)	-1967	meV per atom
Fermi-level density of states	0.42	states/eV/atom
space-group type	P-31c, No. 163

Cell: 5.571 5.571 8.683 Å, 90.00 90.00 120.00°
Fractional coordinates of all 18 atoms:
Th 0.333 0.667 0.250
Th 0.667 0.333 0.750
Mg 0.000 0.000 0.000
Mg 0.000 0.000 0.500
Ir 0.333 0.667 0.750
Ir 0.667 0.333 0.250
O 0.047 0.364 0.625
O 0.047 0.684 0.875
O 0.316 0.364 0.875
O 0.316 0.953 0.625
O 0.364 0.047 0.125
O 0.364 0.316 0.375
O 0.636 0.684 0.625
O 0.636 0.953 0.875
O 0.684 0.047 0.375
O 0.684 0.636 0.125
O 0.953 0.316 0.125
O 0.953 0.636 0.375



Record 17
Material: Mg2TiIrO6
Method: DFT, PBE
State: relaxed

Computed properties:
E_form (uncorrected)	-2127	meV per atom
Fermi-level density of states	0.54	states/eV/atom
space-group type	P2_1/c, No. 14

Cell: 5.164 5.322 9.115 Å, 90.00 124.34 90.00°
Fractional coordinates of all 20 atoms:
Mg 0.247 0.054 0.252
Mg 0.247 0.446 0.752
Mg 0.753 0.554 0.248
Mg 0.753 0.946 0.748
Ti 0.000 0.000 0.500
Ti 0.000 0.500 0.000
Ir 0.500 0.000 0.000
Ir 0.500 0.500 0.500
O 0.106 0.188 0.930
O 0.106 0.312 0.430
O 0.256 0.680 0.937
O 0.256 0.820 0.437
O 0.376 0.068 0.748
O 0.376 0.432 0.248
O 0.624 0.568 0.752
O 0.624 0.932 0.252
O 0.744 0.180 0.563
O 0.744 0.320 0.063
O 0.894 0.688 0.570
O 0.894 0.812 0.070



Record 18
Material: MgTiIrO6
Method: DFT, PBE
State: relaxed

Computed properties:
E_form (uncorrected)	-1814	meV per atom
Fermi-level density of states	0.65	states/eV/atom
space-group type	P-31c, No. 163

Cell: 5.069 5.069 9.093 Å, 90.00 90.00 120.00°
Fractional coordinates of all 18 atoms:
Mg 0.000 0.000 0.000
Mg 0.000 0.000 0.500
Ti 0.333 0.667 0.250
Ti 0.667 0.333 0.750
Ir 0.333 0.667 0.750
Ir 0.667 0.333 0.250
O 0.002 0.349 0.633
O 0.002 0.653 0.867
O 0.347 0.349 0.867
O 0.347 0.998 0.633
O 0.349 0.002 0.133
O 0.349 0.347 0.367
O 0.651 0.653 0.633
O 0.651 0.998 0.867
O 0.653 0.002 0.367
O 0.653 0.651 0.133
O 0.998 0.347 0.133
O 0.998 0.651 0.367



Number 1: total energy -54.60 eV/cell. Number 2: total energy -65.45 eV/cell. Number 3: total energy -114.08 eV/cell. Number 4: total energy -62.72 eV/cell. Number 5: total energy -86.90 eV/cell. Number 6: total energy -35.47 eV/cell. Number 7: total energy -23.33 eV/cell. Number 8: total energy -76.12 eV/cell. Number 9: total energy -149.10 eV/cell. Number 10: total energy -72.57 eV/cell. Number 11: total energy -73.97 eV/cell. Number 12: total energy -140.21 eV/cell. Number 13: total energy -139.08 eV/cell. Number 14: total energy -125.60 eV/cell. Number 15: total energy -107.86 eV/cell. Number 16: total energy -130.66 eV/cell. Number 17: total energy -141.93 eV/cell. Number 18: total energy -128.85 eV/cell.